Compound: BaLiZn2H
Source: Alexandria
Functional: PBE
Structure: relaxed

The structure belongs to space group P4/mmm (No. 123); the cell edges are 5.030, 5.030 and 4.478 Å and the angles 90.00°, 90.00° and 90.00°. The asymmetric unit holds Ba at (0.000, 0.000, 0.000), Li at (0.500, 0.500, 0.500), Zn at (0.000, 0.500, 0.500) and H at (0.500, 0.500, 0.000).

Its density of states at the Fermi level is 0.683 states/eV/atom.

Compound: BaLiZn2H6
Source: Alexandria
Functional: PBE
Structure: relaxed

The structure belongs to space group R-3m (No. 166, hexagonal axes); the cell edges are 5.0465, 5.0465 and 16.9004 Å and the angles 90.00°, 90.00° and 120.00°. The asymmetric unit holds Ba at (0.0000, 0.0000, 0.0000), Li at (0.0000, 0.0000, 0.5000), Zn at (0.0000, 0.0000, 0.2284) and H at (0.0246, 0.5123, 0.0808).

Its density of states at the Fermi level is 0.140 states/eV/atom.

Total DFT energy (no corrections) for every record listed, in sequence, given in eV/atom: -1.83; -2.81.